YHf3Sb (PBE, relaxed); E_form (uncorrected) = 1.48 eV per atom; offset from the most stable computed form = 872 meV per atom
1.0
5.1855 0.0000 0.0000
0.0000 5.1855 0.0000
0.0000 0.0000 5.1855
Y Sb Hf
1 1 3
Direct
0.0000 0.0000 0.0000 Y
0.5000 0.5000 0.5000 Sb
0.0000 0.5000 0.0000 Hf
0.0000 0.0000 0.5000 Hf
0.5000 0.0000 0.0000 Hf

---

La8PrTm6 (PBE, relaxed); formation energy = 172 meV per atom
1.0
-6.3200 1.9005 0.3630
-1.6160 -3.7409 -8.5488
-1.1428 -5.2856 7.7745
La Pr Tm
8 1 6
Direct
0.8258 0.0493 0.2935 La
0.8258 0.7065 0.7558 La
0.8258 0.2442 0.9507 La
0.1742 0.9507 0.7065 La
0.1742 0.2935 0.2442 La
0.1742 0.7558 0.0493 La
0.8733 0.3333 0.6667 La
0.1267 0.6667 0.3333 La
0.5000 0.0000 0.0000 Pr
0.6597 0.6560 0.1018 Tm
0.6597 0.8982 0.5542 Tm
0.6597 0.4458 0.3440 Tm
0.3403 0.3440 0.8982 Tm
0.3403 0.1018 0.4458 Tm
0.3403 0.5542 0.6560 Tm

---

SrIn2Cl (PBE, relaxed); E_form (uncorrected) = -0.81 eV per atom; offset from the most stable computed form = 13 meV per atom
1.0
4.6342 -0.1885 0.0794
2.5443 3.8779 0.0794
2.2774 1.1705 7.9414
Cl In Sr
1 2 1
Direct
0.2287 0.2287 0.3277 Cl
0.0246 0.0246 0.9109 In
0.7383 0.7383 0.7818 In
0.5085 0.5085 0.4796 Sr

---

Ac8InRh3I4 (PBE, relaxed); E_form (uncorrected) = -0.89 eV per atom
1.0
-4.6334 3.5402 6.9097
-8.4060 -4.3054 -3.4308
7.0189 -5.4721 1.5950
Ac In Rh I
8 1 3 4
Direct
0.2420 0.6872 0.9458 Ac
0.2418 0.6870 0.4835 Ac
0.2696 0.3092 0.5392 Ac
0.7038 0.6872 0.9458 Ac
0.2962 0.3128 0.0542 Ac
0.7304 0.6908 0.4608 Ac
0.7582 0.3130 0.5165 Ac
0.7580 0.3128 0.0542 Ac
0.0000 0.5000 0.0000 In
0.5000 0.5000 0.0000 Rh
0.5000 0.5000 0.5000 Rh
0.0000 0.5000 0.5000 Rh
0.5000 0.0000 0.0000 I
0.5000 0.0000 0.5000 I
0.0000 0.0000 0.0000 I
0.0000 0.0000 0.5000 I

---

PaReSnOs (PBE, relaxed); formation energy = 100 meV per atom
1.0
-4.2289 1.8464 1.2246
-1.2889 0.1734 4.5936
-0.2063 4.1978 2.2646
Re Pa Os Sn
1 1 1 1
Direct
0.0000 0.0000 0.0000 Re
0.7500 0.7500 0.7500 Pa
0.5000 0.5000 0.5000 Os
0.2500 0.2500 0.2500 Sn

---

Mg2AlB (PBE, relaxed); formation energy = 785 meV per atom; offset from the most stable computed form = 674 meV per atom
1.0
3.9614 0.0000 0.0000
0.0000 3.9614 0.0000
1.9807 1.9807 8.9041
Mg B Al
4 2 2
Direct
0.6054 0.1250 0.2500 Mg
0.1446 0.6250 0.2500 Mg
0.3750 0.3946 0.7500 Mg
0.8750 0.8554 0.7500 Mg
0.5000 0.5000 0.0000 B
0.2500 0.7500 0.5000 B
0.0000 0.0000 0.0000 Al
0.7500 0.2500 0.5000 Al

---

Nb6FeMo3 (PBE, relaxed); formation energy = -81 meV per atom
1.0
4.5603 0.0000 0.0000
0.0000 7.5542 -2.3212
0.0000 0.1886 9.6706
Nb Fe Mo
12 2 6
Direct
0.2500 0.4552 0.1024 Nb
0.7500 0.5448 0.8976 Nb
0.2500 0.1496 0.2039 Nb
0.7500 0.8504 0.7961 Nb
0.2500 0.6457 0.6937 Nb
0.7500 0.3543 0.3063 Nb
0.2500 0.2416 0.5026 Nb
0.7500 0.7584 0.4974 Nb
0.2500 0.8532 0.3090 Nb
0.7500 0.1468 0.6910 Nb
0.2500 0.0528 0.8957 Nb
0.7500 0.9472 0.1043 Nb
0.2500 0.9505 0.5975 Fe
0.7500 0.0495 0.4025 Fe
0.2500 0.5517 0.4009 Mo
0.7500 0.4483 0.5991 Mo
0.2500 0.3461 0.7969 Mo
0.7500 0.6539 0.2031 Mo
0.2500 0.7526 0.0000 Mo
0.7500 0.2474 0.0000 Mo

---

Cs3Cd5 (PBE, relaxed); formation energy = -31 meV per atom
1.0
-2.6246 5.4613 4.7038
-8.2906 1.9611 -4.3778
-5.7928 -4.0965 7.7786
Cs Cd
6 10
Direct
0.2213 0.9996 0.0582 Cs
0.7796 0.9996 0.9418 Cs
0.8622 0.2045 0.5000 Cs
0.1387 0.7943 0.5000 Cs
0.8389 0.4996 0.8231 Cs
0.1620 0.4996 0.1769 Cs
0.6299 0.6029 0.5000 Cd
0.3710 0.3961 0.5000 Cd
0.3310 0.6567 0.8003 Cd
0.6697 0.3426 0.1997 Cd
0.4331 0.1207 0.3404 Cd
0.5678 0.8785 0.6595 Cd
0.3695 0.3426 0.8003 Cd
0.6313 0.6567 0.1997 Cd
0.7273 0.8785 0.3405 Cd
0.2735 0.1207 0.6596 Cd

---

BeC (PBE, relaxed); formation energy = 967 meV per atom; offset from the most stable computed form = 648 meV per atom
1.0
-3.5630 -1.2402 3.4628
0.7866 -3.0213 -4.0592
1.3004 -0.9851 0.9852
Be C
3 3
Direct
0.0000 0.3610 0.0000 Be
0.6390 0.6390 0.0000 Be
0.3610 0.0000 0.0000 Be
0.0000 0.0000 0.0000 C
0.6667 0.3333 0.5000 C
0.3333 0.6667 0.5000 C

---

Mg3GaPt (PBE, relaxed); formation energy = -491 meV per atom; offset from the most stable computed form = 0 meV per atom
1.0
6.8075 0.0000 1.0514
0.0000 6.3471 0.0000
0.7740 0.0000 9.0128
Mg Ga Pt
12 4 4
Direct
0.1969 0.9556 0.7508 Mg
0.8031 0.0444 0.2492 Mg
0.8031 0.4556 0.7492 Mg
0.1969 0.5444 0.2508 Mg
0.2805 0.4564 0.6339 Mg
0.7195 0.5436 0.3661 Mg
0.7195 0.9564 0.8661 Mg
0.2805 0.0436 0.1339 Mg
0.3746 0.8550 0.4258 Mg
0.6254 0.1450 0.5742 Mg
0.6254 0.3550 0.0742 Mg
0.3746 0.6450 0.9258 Mg
0.9511 0.7961 0.5309 Ga
0.0489 0.2039 0.4691 Ga
0.0489 0.2961 0.9691 Ga
0.9511 0.7039 0.0309 Ga
0.4295 0.2418 0.8585 Pt
0.5705 0.7582 0.1415 Pt
0.5705 0.7418 0.6415 Pt
0.4295 0.2582 0.3585 Pt

---

Mg8InBi6 (PBE, relaxed); formation energy = -167 meV per atom
1.0
7.3153 0.0000 3.8388
2.6504 6.8182 3.8388
0.0132 0.0090 8.8642
Mg In Bi
8 1 6
Direct
0.5635 0.1976 0.3709 Mg
0.8024 0.1320 0.6291 Mg
0.1320 0.4365 0.6291 Mg
0.6631 0.6631 0.0107 Mg
0.3369 0.3369 0.9893 Mg
0.8680 0.5635 0.3709 Mg
0.1976 0.8680 0.3709 Mg
0.4365 0.8024 0.6291 Mg
0.0000 0.0000 0.0000 In
0.4270 0.0662 0.7776 Bi
0.9338 0.2707 0.2224 Bi
0.2707 0.5730 0.2224 Bi
0.7293 0.4270 0.7776 Bi
0.0662 0.7293 0.7776 Bi
0.5730 0.9338 0.2224 Bi

---

CoSi2P (PBE, relaxed); E_form (uncorrected) = -0.14 eV per atom; offset from the most stable computed form = 0 meV per atom
1.0
-1.2072 -0.4797 3.6850
-3.9667 -0.4775 -1.3616
-1.6778 -3.7324 -1.0355
Co P Si
1 1 2
Direct
0.0000 0.5426 0.5424 Co
0.5000 0.6928 0.6933 P
0.0000 0.8983 0.8979 Si
0.5000 0.3663 0.3664 Si

---

LaTb (PBE, relaxed); formation energy = 13 meV per atom; offset from the most stable computed form = 0 meV per atom
1.0
6.3164 0.0000 3.6468
2.1055 5.9552 3.6468
0.0000 0.0000 7.2936
La Tb
4 4
Direct
0.3750 0.3750 0.3750 La
0.3750 0.3750 0.8750 La
0.3750 0.8750 0.3750 La
0.8750 0.3750 0.3750 La
0.8750 0.8750 0.8750 Tb
0.8750 0.8750 0.3750 Tb
0.8750 0.3750 0.8750 Tb
0.3750 0.8750 0.8750 Tb

---

Hg2PS (PBE, relaxed); E_form (uncorrected) = 0.18 eV per atom
1.0
5.9946 0.0000 0.0000
0.0000 5.9946 0.0000
2.9973 2.9973 5.8624
P S Hg
2 2 4
Direct
0.5000 0.5000 0.0000 P
0.2500 0.7500 0.5000 P
0.0000 0.0000 0.0000 S
0.7500 0.2500 0.5000 S
0.6093 0.1250 0.2500 Hg
0.1407 0.6250 0.2500 Hg
0.3750 0.3907 0.7500 Hg
0.8750 0.8593 0.7500 Hg

---

RbHgAuS2 (PBE, relaxed); E_form (uncorrected) = -0.51 eV per atom
1.0
5.9559 0.0000 0.0000
0.0000 6.9943 0.0113
0.0000 -2.0546 7.1494
Rb Hg Au S
2 2 2 4
Direct
0.2141 0.5000 0.7500 Rb
0.7859 0.5000 0.2500 Rb
0.4901 0.0000 0.2500 Hg
0.5099 0.0000 0.7500 Hg
0.0000 0.0000 0.0000 Au
0.0000 0.0000 0.5000 Au
0.7000 0.7792 0.9467 S
0.7000 0.2208 0.5533 S
0.3000 0.7792 0.4467 S
0.3000 0.2208 0.0533 S

---

Pt2Se (PBE, relaxed); E_form (uncorrected) = 0.35 eV per atom; offset from the most stable computed form = 433 meV per atom
1.0
-0.2500 -5.9281 1.4266
-0.3991 -1.4088 -5.9241
6.0842 -0.3360 -0.3300
Se Pt
4 8
Direct
0.0000 0.0000 0.0000 Se
0.5000 0.5000 0.0000 Se
0.5000 0.0000 0.5000 Se
0.0000 0.5000 0.5000 Se
0.6292 0.6292 0.3708 Pt
0.3708 0.3708 0.6292 Pt
0.1292 0.8708 0.6292 Pt
0.8708 0.1292 0.3708 Pt
0.3708 0.1292 0.1292 Pt
0.6292 0.8708 0.8708 Pt
0.8708 0.3708 0.8708 Pt
0.1292 0.6292 0.1292 Pt

---

CaFePt2 (PBE, relaxed); formation energy = -51 meV per atom
1.0
-7.6936 0.7990 -4.7945
-7.4665 -2.1550 -4.7355
-8.7289 -0.7205 -2.4707
Ca Fe Pt
1 1 2
Direct
0.2500 0.2500 0.2500 Ca
0.7500 0.7500 0.7500 Fe
0.0073 0.0073 0.0073 Pt
0.4927 0.4927 0.4927 Pt

---

CsTe2S2 (PBE, relaxed); E_form (uncorrected) = -0.35 eV per atom; offset from the most stable computed form = 0 meV per atom
1.0
-4.8458 -1.7989 -2.3739
-0.5577 -9.8844 8.6284
0.2049 14.1194 -4.3033
Cs Te S
2 4 4
Direct
0.1256 0.7500 0.0000 Cs
0.8744 0.2500 0.0000 Cs
0.3203 0.2226 0.7322 Te
0.5881 0.2774 0.2678 Te
0.6797 0.7774 0.2678 Te
0.4119 0.7226 0.7322 Te
0.8362 0.2411 0.3785 S
0.5423 0.7411 0.3785 S
0.1638 0.7589 0.6215 S
0.4577 0.2589 0.6215 S

---

PC (PBE, relaxed); formation energy = 1367 meV per atom; offset from the most stable computed form = 1054 meV per atom
1.0
4.1063 0.0000 0.0000
0.0000 4.1063 0.0000
0.0000 0.0000 3.7316
P C
3 3
Direct
0.5000 0.5000 0.5000 P
0.5000 0.0000 0.0000 P
0.0000 0.5000 0.0000 P
0.5000 0.5000 0.0000 C
0.0000 0.5000 0.5000 C
0.5000 0.0000 0.5000 C

---

Li7Ag3Pt2 (PBE, relaxed); formation energy = -212 meV per atom
1.0
-0.4693 4.0456 0.1303
-4.0635 -0.4728 0.0444
2.2007 -0.1196 11.6435
Li Ag Pt
7 3 2
Direct
0.0000 0.4133 0.8266 Li
0.0000 0.7264 0.4528 Li
0.0000 0.0000 0.0000 Li
0.0000 0.5867 0.1734 Li
0.5000 0.0884 0.1768 Li
0.5000 0.9116 0.8232 Li
0.0000 0.2736 0.5472 Li
0.5000 0.5000 0.0000 Ag
0.5000 0.6599 0.3199 Ag
0.5000 0.3401 0.6801 Ag
0.0000 0.8423 0.6847 Pt
0.0000 0.1577 0.3153 Pt